*1*
First-principles (PBE-GGA) data for a relaxed structure of IrBr, as listed in Alexandria via LeMat-Bulk.

Cell lengths 10.941, 10.941, 2.974 Å; angles 90.00, 90.00, 90.00 degrees
Space group I4/mmm (No. 139)
One atom of each set of equivalent atoms:
Ir  0.178  0.178  0.000
Br  0.000  0.309  0.000

ρ ... 10154 kg/m³
Magnetization ... 0.00 μB/f.u.

*2*
First-principles (PBE-GGA) data for a relaxed structure of IrBr, as listed in Alexandria via LeMat-Bulk.

Cell lengths 3.274, 3.274, 3.274 Å; angles 90.00, 90.00, 90.00 degrees
Space group Pm-3m (No. 221)
One atom of each set of equivalent atoms:
Ir  0.000  0.000  0.000
Br  0.500  0.500  0.500

ρ ... 12870 kg/m³
Magnetization ... 0.51 μB/f.u.

Verdict on stability: *2* comes out at the bottom.

*1*
First-principles (PBE-GGA) data for a relaxed structure of BeCuCl2, as listed in Alexandria via LeMat-Bulk.

Cell lengths 2.978, 6.092, 10.659 Å; angles 90.00, 90.00, 90.00 degrees
Space group Cmmm (No. 65)
One atom of each set of equivalent atoms:
Be  0.000  0.000  0.000
Cu  0.000  0.000  0.500
Cl  0.000  0.500  0.137

ρ ... 2464 kg/m³
Magnetization ... 0.00 μB/f.u.

*2*
First-principles (PBE-GGA) data for a relaxed structure of BeCuCl2, as listed in Alexandria via LeMat-Bulk.

Cell lengths 3.385, 3.385, 13.748 Å; angles 90.00, 90.00, 90.00 degrees
Space group I-4m2 (No. 119)
One atom of each set of equivalent atoms:
Be  0.000  0.000  0.000
Cu  0.000  0.500  0.250
Cl  0.000  0.000  0.500
Cl  0.000  0.500  0.750

ρ ... 3024 kg/m³
Magnetization ... 0.00 μB/f.u.

Verdict on stability: *2* comes out at the bottom.